# MoSe2F | Alexandria via LeMat-Bulk | PBE+U | relaxed
data_MoSe2F
_cell_length_a 6.381
_cell_length_b 6.381
_cell_length_c 6.381
_cell_angle_alpha 90.00
_cell_angle_beta 90.00
_cell_angle_gamma 90.00
_space_group_name_H-M_alt 'F m -3 m'
_space_group_IT_number 225
_space_group_name_Hall '-F 4 2 3'
loop_
_atom_site_label
_atom_site_fract_x
_atom_site_fract_y
_atom_site_fract_z
_atom_site_occupancy
Mo1 0.000 0.000 0.000 1
Se1 0.250 0.250 0.250 1
F1 0.000 0.000 0.500 1
# - spin magnetization (μB/cell) = 8.39
# - final energy (eV per cell) = -69.61
# - density (g/cm³) = 7.0
# - density of states at the Fermi level (states/eV/f.u.) = 1.4